Entry 1:
DFT (PBE-GGA) results for a relaxed Sc3PaP4 crystal.

Computed properties:
Symmetry: Cmmm (65)
Crystal system: orthorhombic
D(E_F) (states/eV per atom): 0.5579
Final energy (eV per atom): -7.71
Calculated formation energy (eV/atom): -1.448

Cell lengths 3.8339, 6.5987, 6.5987 Å; angles 109.57, 90.00, 90.00 degrees
Last column: nearest neighbours and their distance in Å.
Atoms (fractional coordinates):
P1 0.5000 0.2532 0.7468  5 Sc 2.66-2.70, 1 Pa 2.73
Sc1 0.0000 0.5000 0.0000  6 P 2.70
Pa1 0.5000 0.0000 0.0000  6 P 2.73-2.75
Sc2 0.0000 0.0000 0.5000  6 P 2.70
P2 0.0000 0.7403 0.7403  4 Sc 2.65-2.70, 2 Pa 2.75
P3 0.5000 0.7468 0.2532  5 Sc 2.66-2.70, 1 Pa 2.73
Sc3 0.5000 0.5000 0.5000  6 P 2.65-2.66
P4 0.0000 0.2597 0.2597  4 Sc 2.65-2.70, 2 Pa 2.75


Entry 2:
DFT (PBE-GGA) results for a relaxed CaTb3Ho7 crystal.

Computed properties:
Symmetry: P3m1 (156)
Crystal system: trigonal
D(E_F) (states/eV per atom): 1.4603
Final energy (eV per atom): -4.12
Calculated formation energy (eV/atom): 0.236

Cell lengths 8.6145, 7.0574, 7.0574 Å; angles 120.00, 90.00, 90.00 degrees
Last column: nearest neighbours and their distance in Å.
Atoms (fractional coordinates):
Ho1 0.1130 0.1652 0.8348  2 Tb 3.47, 8 Ho 3.50-3.56, 1 Ca 3.53
Ho2 0.1218 0.6667 0.3333  9 Ho 3.44-3.53, 3 Tb 3.49
Tb1 0.7899 0.5033 0.4967  4 Tb 3.46-3.60, 5 Ho 3.47-3.58, 1 Ca 3.61
Ho3 0.4459 0.8309 0.1691  7 Ho 3.44-3.58, 2 Ca 3.53, 2 Tb 3.58
Tb2 0.7899 0.5033 0.0066  4 Tb 3.46-3.60, 5 Ho 3.47-3.58, 1 Ca 3.61
Ca1 0.4468 0.3333 0.6667  9 Ho 3.53, 3 Tb 3.61
Ho4 0.4459 0.3381 0.1691  7 Ho 3.44-3.58, 2 Ca 3.53, 2 Tb 3.58
Ho5 0.4459 0.8309 0.6619  7 Ho 3.44-3.58, 2 Ca 3.53, 2 Tb 3.58
Tb3 0.7899 0.9934 0.4967  4 Tb 3.46-3.60, 5 Ho 3.47-3.58, 1 Ca 3.61
Ho6 0.1130 0.6696 0.8348  2 Tb 3.47, 8 Ho 3.50-3.56, 1 Ca 3.53
Ho7 0.1130 0.1652 0.3304  2 Tb 3.47, 8 Ho 3.50-3.56, 1 Ca 3.53